[1]
LiMgH2Pd4, optimized geometry, DFT PBE; space-group type = P4/mmm, No. 123
1.0
3.862 0.000 0.000
0.000 3.862 0.000
0.000 0.000 7.383
Pd H Mg Li
4 2 1 1
Cartesian
0.000 1.931 1.924 Pd
1.931 0.000 1.924 Pd
1.931 0.000 5.459 Pd
0.000 1.931 5.459 Pd
1.931 1.931 1.957 H
1.931 1.931 5.426 H
0.000 0.000 0.000 Mg
0.000 0.000 3.691 Li

=====

[2]
LiMg2HPd, optimized geometry, DFT PBE; space-group type = P4/mmm, No. 123
1.0
4.343 0.000 0.000
0.000 4.343 0.000
0.000 0.000 3.631
Mg Pd H Li
2 1 1 1
Cartesian
0.000 2.171 0.000 Mg
2.171 0.000 0.000 Mg
2.171 2.171 1.816 Pd
0.000 0.000 0.000 H
0.000 0.000 1.816 Li

=====

[3]
LiMg2HPd, optimized geometry, DFT PBE; space-group type = P4/mmm, No. 123
1.0
-4.097 1.780 0.314
-1.013 -1.803 -2.990
-1.309 -3.457 2.528
Mg H Li Pd
2 1 1 1
Cartesian
-0.654 -1.729 1.264 Mg
-2.049 0.890 0.157 Mg
0.000 0.000 0.000 H
-3.209 -1.740 -0.074 Li
-0.506 -0.902 -1.495 Pd

=====

[4]
LiMgHPd2, optimized geometry, DFT PBE; space-group type = P4/mmm, No. 123
1.0
-3.619 -1.620 0.756
1.529 -1.920 3.204
-0.873 2.979 2.202
Mg Pd H Li
1 2 1 1
Cartesian
-1.481 -0.281 3.081 Mg
-1.809 -0.810 0.378 Pd
0.765 -0.960 1.602 Pd
0.000 0.000 0.000 H
-0.436 1.489 1.101 Li

=====

Number 1: calculated total energy -32.91 eV per cell, M_tot 0.00 μB/atom. Number 2: calculated total energy -15.54 eV per cell, M_tot 0.00 μB/atom. Number 3: calculated total energy -15.16 eV per cell, M_tot 0.00 μB/atom. Number 4: calculated total energy -19.93 eV per cell, M_tot 0.00 μB/atom.